Entry 1:
Density functional theory data (GGA-PBE) for a geometry-optimized YBe2SO structure.

The space group is P4/mmm (No. 123) and the conventional cell measures 3.6492, 3.6492 and 6.2172 Å, with angles of 90.00, 90.00 and 90.00 degrees. The inequivalent atoms are Y at (0.0000, 0.0000, 0.0000), Be at (0.0000, 0.5000, 0.5000), S at (0.5000, 0.5000, 0.5000) and O at (0.5000, 0.5000, 0.0000).

For the formation energy (no corrections), the calculation gives -0.3199 eV per atom. The value obtained for the volume is 16.56 Å³ per atom. The density of states at the Fermi level comes out at 0.41 states/eV per atom.

Entry 2:
Density functional theory data (GGA-PBE) for a geometry-optimized CuHgTe2Se structure.

The space group is P4/mmm (No. 123) and the conventional cell measures 5.6088, 5.6088 and 4.8301 Å, with angles of 90.00, 90.00 and 90.00 degrees. The inequivalent atoms are Cu at (0.0000, 0.0000, 0.0000), Hg at (0.0000, 0.0000, 0.5000), Te at (0.0000, 0.5000, 0.5000) and Se at (0.5000, 0.5000, 0.0000).

For the formation energy (no corrections), the calculation gives 0.8427 eV per atom. The value obtained for the volume is 30.39 Å³ per atom. The density of states at the Fermi level comes out at 1.22 states/eV per atom.

Entry 3:
Density functional theory data (GGA-PBE) for a geometry-optimized Sc3Ag3Pt2 structure.

The space group is P-62m (No. 189) and the conventional cell measures 7.3820, 7.3820 and 3.2529 Å, with angles of 90.00, 90.00 and 120.00 degrees. The inequivalent atoms are Sc at (0.0000, 0.4181, 0.0000), Ag at (0.0000, 0.7744, 0.5000) and Pt at (0.3333, 0.6667, 0.5000).

As for the energy relative to the elements: -0.71 eV per atom. The value obtained for the volume is 19.19 Å³ per atom. The density of states at the Fermi level comes out at 0.81 states/eV per atom.

Entry 4:
Density functional theory data (GGA-PBE) for a geometry-optimized CuTc2Se structure.

The space group is Cm (No. 8) and the conventional cell measures 8.9780, 3.0149 and 4.4458 Å, with angles of 90.00, 106.99 and 90.00 degrees. The inequivalent atoms are Cu at (0.0000, 0.0000, 0.0000), Tc at (0.0017, 0.5000, 0.5122), Tc at (0.2549, 0.0000, 0.8551) and Se at (0.2520, 0.5000, 0.3079).

For the formation energy (no corrections), the calculation gives 0.3104 eV per atom. The value obtained for the volume is 14.39 Å³ per atom. The density of states at the Fermi level comes out at 1.02 states/eV per atom.